This record from Alexandria via LeMat-Bulk describes MnReOF2 after structural relaxation. The functional is GGA+U.

```
data_MnReOF2
_chemical_formula_sum 'Mn1 Re1 O1 F2'
_space_group_name_H-M_alt 'P 4/m m m'
_space_group_IT_number 123
_space_group_name_Hall '-P 4 2'
_cell_length_a 4.3638
_cell_length_b 4.3638
_cell_length_c 3.7999
_cell_angle_alpha 90.00
_cell_angle_beta 90.00
_cell_angle_gamma 90.00
loop_
_atom_site_label
_atom_site_type_symbol
_atom_site_fract_x
_atom_site_fract_y
_atom_site_fract_z
Mn1 Mn 0.0000 0.0000 0.0000
Re1 Re 0.5000 0.5000 0.5000
O1 O 0.5000 0.5000 0.0000
F1 F 0.0000 0.5000 0.5000
```

## Properties
As for the offset from the most stable computed form: 0.000 eV per atom. The density of states at the Fermi level comes out at 2.50 states/eV/f.u. Its mass density is 6.8 g/cm3.